Record 1
{"formula": "Li3Er2Au4", "functional": "PBE", "state": "relaxed", "relative_energy_mev_per_atom": 0, "formation_enthalpy_0k_ev_per_atom": -0.657, "lattice": [[4.583, -0.005, 0.000], [2.286, 4.761, 0.694], [-0.004, 0.920, 7.862]], "species": ["Li", "Li", "Li", "Er", "Er", "Au", "Au", "Au", "Au"], "frac_coords": [[0.369, 0.262, 0.468], [0.000, 0.000, 0.000], [0.631, 0.738, 0.532], [0.250, 0.499, 0.790], [0.750, 0.501, 0.210], [0.570, 0.860, 0.846], [0.084, 0.834, 0.361], [0.916, 0.166, 0.639], [0.430, 0.140, 0.154]]}



Record 2
{"formula": "KBaS2O6", "functional": "PBE", "state": "relaxed", "e_form_raw_kcal_per_mol_atoms": -41.580, "lattice": [[-2.519, 1.935, 6.455], [-3.667, -5.781, -2.211], [8.901, -2.300, 0.868]], "species": ["K", "K", "Ba", "Ba", "S", "S", "S", "S", "O", "O", "O", "O", "O", "O", "O", "O", "O", "O", "O", "O"], "frac_coords": [[0.139, 0.861, 0.250], [0.861, 0.139, 0.750], [0.548, 0.452, 0.250], [0.452, 0.548, 0.750], [0.322, 0.030, 0.745], [0.970, 0.678, 0.755], [0.678, 0.970, 0.255], [0.030, 0.322, 0.245], [0.958, 0.497, 0.296], [0.503, 0.042, 0.204], [0.042, 0.503, 0.704], [0.497, 0.958, 0.796], [0.085, 0.321, 0.099], [0.679, 0.915, 0.401], [0.915, 0.679, 0.901], [0.321, 0.085, 0.599], [0.245, 0.380, 0.395], [0.620, 0.755, 0.105], [0.755, 0.620, 0.605], [0.380, 0.245, 0.895]]}



Record 3
{"formula": "USnRu", "functional": "PBE", "state": "relaxed", "formation_enthalpy_0k_ev_per_atom": -0.147, "lattice": [[3.339, 0.000, 0.000], [0.000, 3.339, 0.000], [0.000, 0.000, 11.109]], "species": ["U", "U", "Ru", "Ru", "Sn", "Sn"], "frac_coords": [[0.000, 0.500, 0.572], [0.500, 0.000, 0.428], [0.500, 0.000, 0.702], [0.000, 0.500, 0.298], [0.000, 0.500, 0.879], [0.500, 0.000, 0.121]]}



Record 4
{"formula": "Re7Tc6", "functional": "PBE", "state": "relaxed", "formation_enthalpy_0k_ev_per_atom": 0.170, "lattice": [[-9.051, -1.563, -2.181], [-8.334, -3.767, 2.341], [-9.130, 1.243, 2.054]], "species": ["Re", "Re", "Re", "Re", "Re", "Re", "Re", "Tc", "Tc", "Tc", "Tc", "Tc", "Tc"], "frac_coords": [[0.918, 0.410, 0.410], [0.410, 0.410, 0.918], [0.410, 0.918, 0.410], [0.082, 0.590, 0.590], [0.590, 0.082, 0.590], [0.590, 0.590, 0.082], [0.500, 0.500, 0.500], [0.955, 0.955, 0.955], [0.045, 0.045, 0.045], [0.849, 0.849, 0.849], [0.151, 0.151, 0.151], [0.665, 0.665, 0.665], [0.335, 0.335, 0.335]]}



Record 5
{"formula": "Rb3Pa2AgTe6", "functional": "PBE", "state": "relaxed", "e_form_raw_kcal_per_mol_atoms": -19.433, "lattice": [[-4.083, -5.889, 3.176], [0.960, 0.364, -7.771], [8.226, -2.790, 2.196]], "species": ["Rb", "Rb", "Rb", "Pa", "Pa", "Ag", "Te", "Te", "Te", "Te", "Te", "Te"], "frac_coords": [[0.162, 0.838, 0.500], [0.838, 0.162, 0.500], [0.500, 0.500, 0.500], [0.333, 0.667, 0.000], [0.667, 0.333, 0.000], [0.000, 0.000, 0.000], [0.933, 0.592, 0.800], [0.725, 0.725, 0.198], [0.067, 0.408, 0.200], [0.592, 0.933, 0.800], [0.275, 0.275, 0.802], [0.408, 0.067, 0.200]]}



Record 6
{"formula": "PdPbN2O", "functional": "PBE", "state": "relaxed", "e_form_raw_kcal_per_mol_atoms": 21.373, "lattice": [[-0.716, 2.231, -3.278], [2.877, -2.000, -1.990], [-2.982, -2.943, -1.352]], "species": ["Pb", "O", "Pd", "N", "N"], "frac_coords": [[0.500, 0.500, 0.500], [0.000, 0.000, 0.500], [0.000, 0.000, 0.000], [0.000, 0.500, 0.000], [0.500, 0.000, 0.000]]}



no.,magnetization (μB/cell)
1,0.000
2,2.032
3,0.000
4,0.000
5,2.003
6,2.901